DFT (PBE) results for a relaxed AsSe2ClF crystal.

Cell and atoms, written as CIF:
```
data_AsSe2ClF
_chemical_formula_sum 'As1 Se2 Cl1 F1'
_space_group_name_H-M_alt 'P 4/m m m'
_space_group_IT_number 123
_space_group_name_Hall '-P 4 2'
_cell_length_a 4.8707
_cell_length_b 4.8707
_cell_length_c 5.0177
_cell_angle_alpha 90.00
_cell_angle_beta 90.00
_cell_angle_gamma 90.00
loop_
_atom_site_label
_atom_site_fract_x
_atom_site_fract_y
_atom_site_fract_z
_atom_site_occupancy
As1 0.0000 0.0000 0.0000 1
Se1 0.0000 0.5000 0.5000 1
Cl1 0.0000 0.0000 0.5000 1
F1 0.5000 0.5000 0.0000 1
```

total moment = 0.00 μB per atom
density of states at the Fermi level = 6.3 states/eV/f.u.
E_form (uncorrected) = 0.914 eV per atom
crystal system = tetragonal
VASP energy = -2.153 eV/atom



DFT (PBE) results for a relaxed LiHf3Mo crystal.

Cell and atoms, written as CIF:
```
data_LiHf3Mo
_chemical_formula_sum 'Li1 Hf3 Mo1'
_space_group_name_H-M_alt 'P m -3 m'
_space_group_IT_number 221
_space_group_name_Hall '-P 4 2 3'
_cell_length_a 5.0798
_cell_length_b 5.0798
_cell_length_c 5.0798
_cell_angle_alpha 90.00
_cell_angle_beta 90.00
_cell_angle_gamma 90.00
loop_
_atom_site_label
_atom_site_fract_x
_atom_site_fract_y
_atom_site_fract_z
_atom_site_occupancy
Li1 0.0000 0.0000 0.0000 1
Hf1 0.0000 0.5000 0.5000 1
Mo1 0.5000 0.5000 0.5000 1
```

total moment = 0.00 μB per atom
density of states at the Fermi level = 4.8 states/eV/f.u.
formation energy = 3.9 eV/f.u.
crystal system = cubic
VASP energy = -7.732 eV/atom



DFT (PBE) results for a relaxed CoPPdCl2 crystal.

Cell and atoms, written as CIF:
```
data_CoPPdCl2
_chemical_formula_sum 'Co1 P1 Pd1 Cl2'
_space_group_name_H-M_alt 'P 4/m m m'
_space_group_IT_number 123
_space_group_name_Hall '-P 4 2'
_cell_length_a 4.6612
_cell_length_b 4.6612
_cell_length_c 4.2669
_cell_angle_alpha 90.00
_cell_angle_beta 90.00
_cell_angle_gamma 90.00
loop_
_atom_site_label
_atom_site_fract_x
_atom_site_fract_y
_atom_site_fract_z
_atom_site_occupancy
Co1 0.0000 0.0000 0.0000 1
P1 0.0000 0.0000 0.5000 1
Pd1 0.5000 0.5000 0.5000 1
Cl1 0.0000 0.5000 0.0000 1
```

total moment = 0.04 μB per atom
density of states at the Fermi level = 4.5 states/eV/f.u.
E_form (uncorrected) = 0.370 eV per atom
crystal system = tetragonal
VASP energy = -3.910 eV/atom



DFT (PBE) results for a relaxed TmTl2GaS4 crystal.

Cell and atoms, written as CIF:
```
data_TmTl2GaS4
_chemical_formula_sum 'Tm4 Tl8 Ga4 S16'
_space_group_name_H-M_alt 'I m m a'
_space_group_IT_number 74
_space_group_name_Hall '-I 2b 2'
_cell_length_a 8.0424
_cell_length_b 8.1997
_cell_length_c 11.5811
_cell_angle_alpha 90.00
_cell_angle_beta 90.00
_cell_angle_gamma 90.00
loop_
_atom_site_label
_atom_site_fract_x
_atom_site_fract_y
_atom_site_fract_z
_atom_site_occupancy
Tm1 0.0000 0.0000 0.0000 1
Tl1 0.0000 0.0000 0.5000 1
Tl2 0.2500 0.2500 0.2500 1
Ga1 0.2500 0.2500 0.7500 1
S1 0.0000 0.0447 0.7630 1
S2 0.2207 0.2500 0.9769 1
```

total moment = 0.00 μB per atom
density of states at the Fermi level = 1.1 states/eV/f.u.
E_form (uncorrected) = -0.846 eV per atom
crystal system = orthorhombic
VASP energy = -4.439 eV/atom